Density functional theory data (GGA-PBE) for a relaxed structure of TbY2Ru2.

Its symmetry is Cmmm (65). The value obtained for the formation energy is -285 meV per atom. For the excess energy over the best structure of this formula in the dataset, the calculation gives 0 meV per atom.

a = 10.430 Å, b = 10.430 Å, c = 3.383 Å
α = 90.00°, β = 90.00°, γ = 161.20°
Positions (direct):
Tb1 0.000 0.000 0.000
Y1 0.165 0.835 0.000
Y2 0.835 0.165 0.000
Ru1 0.413 0.587 0.500
Ru2 0.587 0.413 0.500